*w*
The following is a DFT calculation (PBE) of a relaxed structure of YAsBr2O.

a = 4.6877 Å, b = 4.6877 Å, c = 4.6817 Å
α = 90.00°, β = 90.00°, γ = 90.00°
Last column: nearest neighbours and their distance in Å.
Space group P4/mmm (No. 123)
Symmetry-distinct sites (fractional):
Y 0.0000 0.0000 0.0000 (multiplicity 1)  8 Br 3.31, 4 As 3.31
As 0.5000 0.5000 0.0000 (multiplicity 1)  2 O 2.34
Br 0.0000 0.5000 0.5000 (multiplicity 2)  2 O 2.34
O 0.5000 0.5000 0.5000 (multiplicity 1)  2 As 2.34, 4 Br 2.34

Theoretical density: 5.5 Mg/m³

=====

*x*
The following is a DFT calculation (PBE) of a relaxed structure of YAsBr2O.

a = 5.4637 Å, b = 5.4637 Å, c = 5.9620 Å
α = 90.00°, β = 90.00°, γ = 90.00°
Last column: nearest neighbours and their distance in Å.
Space group P4/mmm (No. 123)
Symmetry-distinct sites (fractional):
Y 0.0000 0.0000 0.0000 (multiplicity 1)  4 Br 2.73, 2 As 2.98
As 0.0000 0.0000 0.5000 (multiplicity 1)  2 Y 2.98
Br 0.0000 0.5000 0.0000 (multiplicity 2)  2 Y 2.73
O 0.5000 0.5000 0.5000 (multiplicity 1)  4 As 3.86, 8 Br 4.04

Theoretical density: 3.2 Mg/m³

=====

Most stable: *w* (next structure +0.261 eV/atom)

=====

*w*
The following is a DFT calculation (PBE) of a relaxed structure of YAs2BrO.

a = 4.1805 Å, b = 4.1805 Å, c = 5.7539 Å
α = 90.00°, β = 90.00°, γ = 90.00°
Last column: nearest neighbours and their distance in Å.
Space group P4/mmm (No. 123)
Symmetry-distinct sites (fractional):
Y 0.0000 0.0000 0.0000 (multiplicity 1)  4 Br 2.96
As 0.0000 0.5000 0.5000 (multiplicity 2)  2 O 2.09
Br 0.5000 0.5000 0.0000 (multiplicity 1)  2 O 2.88, 4 Y 2.96
O 0.5000 0.5000 0.5000 (multiplicity 1)  4 As 2.09

Theoretical density: 5.5 Mg/m³

=====

*x*
The following is a DFT calculation (PBE) of a relaxed structure of YAs2BrO.

a = 5.6240 Å, b = 5.6240 Å, c = 5.5802 Å
α = 90.00°, β = 90.00°, γ = 90.00°
Last column: nearest neighbours and their distance in Å.
Space group P4/mmm (No. 123)
Symmetry-distinct sites (fractional):
Y 0.0000 0.0000 0.0000 (multiplicity 1)  2 Br 2.79, 4 As 2.81
As 0.0000 0.5000 0.0000 (multiplicity 2)  2 Y 2.81
Br 0.0000 0.0000 0.5000 (multiplicity 1)  2 Y 2.79
O 0.5000 0.5000 0.5000 (multiplicity 1)  8 As 3.96, 4 Br 3.98

Theoretical density: 3.1 Mg/m³

=====

Most stable: *w* (next structure +1.049 eV/atom)